PBE-GGA ThScCd17, relaxed; space group = R3m (160); final energy = -30.078 eV for the cell shown; size of the total moment = 0.000 μB/atom; formation energy from the elements = -0.9 kcal/mol of atoms
1.0
5.0339 2.9063 4.9852
-5.0339 2.9063 4.9852
0.0000 -5.8127 4.9852
Th Sc Cd
1 1 17
direct
0.0000 0.0000 0.0000
0.6511 0.6511 0.6511
0.0146 0.3291 0.6372
0.0146 0.6372 0.3291
0.0999 0.7019 0.7019
0.2292 0.2292 0.2292
0.3291 0.0146 0.6372
0.3291 0.6372 0.0146
0.3496 0.3496 0.7978
0.3496 0.7978 0.3496
0.4209 0.4209 0.4209
0.4498 0.9914 0.9914
0.6372 0.0146 0.3291
0.6372 0.3291 0.0146
0.7019 0.0999 0.7019
0.7019 0.7019 0.0999
0.7978 0.3496 0.3496
0.9914 0.4498 0.9914
0.9914 0.9914 0.4498